LuAl4V: optimized geometry, PBE.

Geometry as extended XYZ:
```
6
Lattice="-3.985 2.832 -1.939 -4.953 -1.189 1.310 -2.728 3.205 3.154" Properties=species:S:1:pos:R:3 pbc="T T T"
Al -5.297 1.611 2.552
Al -7.296 3.031 1.579
Al -5.928 1.424 -0.003
Al -4.812 3.628 0.922
Lu -2.917 1.212 0.631
V 0.000 0.000 0.000
```

- total magnetic moment (μB per formula unit) = 0.00
- formation energy (eV/atom) = -0.2259
- E_tot (eV/atom) = -4.99
- space group = F-43m, No. 216